1.
{
  "formula": "La2MgIn",
  "functional": "meta-GGA SCAN",
  "state": "single point on PBEsol structure",
  "total_energy_ev_per_atom": -31.500,
  "e_form_ev_per_atom": -0.357,
  "mass_density_g_cm3": 6.1,
  "dos_at_fermi_per_ev_atom": 1.057,
  "spacegroup": "I-4m2 (119)",
  "magmom_total_mub_per_fu": 0.0,
  "lattice_angstrom": [[-2.370, 2.370, 5.036], [2.370, -2.370, 5.036], [2.370, 2.370, -5.036]],
  "species": ["La", "La", "Mg", "In"],
  "fractional_positions": [[0.000, 0.000, 0.000], [0.750, 0.250, 0.500], [0.500, 0.500, 0.000], [0.250, 0.750, 0.500]]
}

2.
{
  "formula": "LaMgIn",
  "functional": "meta-GGA SCAN",
  "state": "single point on PBEsol structure",
  "total_energy_ev_per_atom": -27.565,
  "e_form_ev_per_atom": -0.410,
  "mass_density_g_cm3": 5.0,
  "dos_at_fermi_per_ev_atom": 0.123,
  "spacegroup": "F-43m (216)",
  "magmom_total_mub_per_fu": 0.0,
  "lattice_angstrom": [[0.000, 3.597, 3.597], [3.597, 0.000, 3.597], [3.597, 3.597, 0.000]],
  "species": ["La", "Mg", "In"],
  "fractional_positions": [[0.000, 0.000, 0.000], [0.500, 0.500, 0.500], [0.750, 0.750, 0.750]]
}

3.
{
  "formula": "LaMgIn",
  "functional": "meta-GGA SCAN",
  "state": "single point on PBEsol structure",
  "total_energy_ev_per_atom": -27.652,
  "e_form_ev_per_atom": -0.497,
  "mass_density_g_cm3": 5.7,
  "dos_at_fermi_per_ev_atom": 0.727,
  "spacegroup": "P-6m2 (187)",
  "magmom_total_mub_per_fu": 0.6,
  "lattice_angstrom": [[5.065, 0.000, 0.000], [-2.532, 4.386, 0.000], [0.000, 0.000, 3.666]],
  "species": ["La", "Mg", "In"],
  "fractional_positions": [[0.000, 0.000, 0.000], [0.333, 0.667, 0.500], [0.667, 0.333, 0.500]]
}

4.
{
  "formula": "LaMgIn4",
  "functional": "meta-GGA SCAN",
  "state": "single point on PBEsol structure",
  "total_energy_ev_per_atom": -30.531,
  "e_form_ev_per_atom": -0.260,
  "mass_density_g_cm3": 6.6,
  "dos_at_fermi_per_ev_atom": 0.701,
  "spacegroup": "F-43m (216)",
  "magmom_total_mub_per_fu": 0.0,
  "lattice_angstrom": [[0.000, 4.280, 4.280], [4.280, 0.000, 4.280], [4.280, 4.280, 0.000]],
  "species": ["La", "Mg", "In", "In", "In", "In"],
  "fractional_positions": [[0.000, 0.000, 0.000], [0.250, 0.250, 0.250], [0.126, 0.625, 0.625], [0.625, 0.126, 0.625], [0.625, 0.625, 0.126], [0.625, 0.625, 0.625]]
}

5.
{
  "formula": "LaMgIn",
  "functional": "meta-GGA SCAN",
  "state": "single point on PBEsol structure",
  "total_energy_ev_per_atom": -27.680,
  "e_form_ev_per_atom": -0.525,
  "mass_density_g_cm3": 5.9,
  "dos_at_fermi_per_ev_atom": 0.517,
  "spacegroup": "Imma (74)",
  "magmom_total_mub_per_fu": 0.0,
  "lattice_angstrom": [[-2.939, 3.141, 4.232], [2.939, -3.141, 4.232], [2.939, 3.141, -4.232]],
  "species": ["La", "La", "Mg", "Mg", "In", "In"],
  "fractional_positions": [[0.388, 0.138, 0.250], [0.612, 0.862, 0.750], [0.000, 0.000, 0.500], [0.000, 0.500, 0.000], [0.000, 0.500, 0.500], [0.500, 0.500, 0.000]]
}

6.
{
  "formula": "LaIn2Mo",
  "functional": "meta-GGA SCAN",
  "state": "single point on PBEsol structure",
  "total_energy_ev_per_atom": -35.987,
  "e_form_ev_per_atom": 0.204,
  "mass_density_g_cm3": 8.2,
  "dos_at_fermi_per_ev_atom": 0.878,
  "spacegroup": "Pmm2 (25)",
  "magmom_total_mub_per_fu": 1.4,
  "lattice_angstrom": [[3.441, 0.000, 0.000], [0.000, 3.701, 0.000], [0.000, 0.000, 7.429]],
  "species": ["La", "In", "In", "Mo"],
  "fractional_positions": [[0.000, 0.000, 0.000], [0.000, 0.000, 0.427], [0.500, 0.500, 0.669], [0.500, 0.500, 0.260]]
}

7.
{
  "formula": "La2InMo",
  "functional": "meta-GGA SCAN",
  "state": "single point on PBEsol structure",
  "total_energy_ev_per_atom": -38.303,
  "e_form_ev_per_atom": 0.317,
  "mass_density_g_cm3": 7.7,
  "dos_at_fermi_per_ev_atom": 1.079,
  "spacegroup": "R-3m (166)",
  "magmom_total_mub_per_fu": 0.0,
  "lattice_angstrom": [[1.739, 1.004, 10.054], [-1.739, 1.004, 10.054], [0.000, -2.009, 10.054]],
  "species": ["La", "La", "In", "Mo"],
  "fractional_positions": [[0.238, 0.238, 0.238], [0.762, 0.762, 0.762], [0.000, 0.000, 0.000], [0.500, 0.500, 0.500]]
}

8.
{
  "formula": "La4InMo",
  "functional": "meta-GGA SCAN",
  "state": "single point on PBEsol structure",
  "total_energy_ev_per_atom": -39.465,
  "e_form_ev_per_atom": 0.650,
  "mass_density_g_cm3": 7.6,
  "dos_at_fermi_per_ev_atom": 1.356,
  "spacegroup": "F-43m (216)",
  "magmom_total_mub_per_fu": 1.8,
  "lattice_angstrom": [[0.000, 4.372, 4.372], [4.372, 0.000, 4.372], [4.372, 4.372, 0.000]],
  "species": ["La", "La", "La", "La", "In", "Mo"],
  "fractional_positions": [[0.124, 0.124, 0.124], [0.124, 0.124, 0.628], [0.124, 0.628, 0.124], [0.628, 0.124, 0.124], [0.500, 0.500, 0.500], [0.750, 0.750, 0.750]]
}

9.
{
  "formula": "LaIn2Mo",
  "functional": "meta-GGA SCAN",
  "state": "single point on PBEsol structure",
  "total_energy_ev_per_atom": -36.120,
  "e_form_ev_per_atom": 0.071,
  "mass_density_g_cm3": 8.6,
  "dos_at_fermi_per_ev_atom": 0.589,
  "spacegroup": "I4/mmm (139)",
  "magmom_total_mub_per_fu": 0.0,
  "lattice_angstrom": [[-2.274, 2.274, 4.323], [2.274, -2.274, 4.323], [2.274, 2.274, -4.323]],
  "species": ["La", "In", "In", "Mo"],
  "fractional_positions": [[0.000, 0.000, 0.000], [0.250, 0.750, 0.500], [0.750, 0.250, 0.500], [0.500, 0.500, 0.000]]
}

10.
{
  "formula": "La3InMo",
  "functional": "meta-GGA SCAN",
  "state": "single point on PBEsol structure",
  "total_energy_ev_per_atom": -39.513,
  "e_form_ev_per_atom": 0.004,
  "mass_density_g_cm3": 6.7,
  "dos_at_fermi_per_ev_atom": 0.861,
  "spacegroup": "Pm-3m (221)",
  "magmom_total_mub_per_fu": 0.0,
  "lattice_angstrom": [[5.370, 0.000, 0.000], [0.000, 5.370, 0.000], [0.000, 0.000, 5.370]],
  "species": ["La", "La", "La", "In", "Mo"],
  "fractional_positions": [[0.000, 0.000, 0.500], [0.000, 0.500, 0.000], [0.500, 0.000, 0.000], [0.500, 0.500, 0.500], [0.000, 0.000, 0.000]]
}

11.
{
  "formula": "La2InMo",
  "functional": "meta-GGA SCAN",
  "state": "single point on PBEsol structure",
  "total_energy_ev_per_atom": -38.492,
  "e_form_ev_per_atom": 0.128,
  "mass_density_g_cm3": 8.7,
  "dos_at_fermi_per_ev_atom": 0.589,
  "spacegroup": "F-43m (216)",
  "magmom_total_mub_per_fu": 2.8,
  "lattice_angstrom": [[0.000, 3.605, 3.605], [3.605, 0.000, 3.605], [3.605, 3.605, 0.000]],
  "species": ["La", "La", "In", "Mo"],
  "fractional_positions": [[0.000, 0.000, 0.000], [0.250, 0.250, 0.250], [0.750, 0.750, 0.750], [0.500, 0.500, 0.500]]
}

12.
{
  "formula": "La2InMo",
  "functional": "meta-GGA SCAN",
  "state": "single point on PBEsol structure",
  "total_energy_ev_per_atom": -38.440,
  "e_form_ev_per_atom": 0.180,
  "mass_density_g_cm3": 8.5,
  "dos_at_fermi_per_ev_atom": 0.840,
  "spacegroup": "P4mm (99)",
  "magmom_total_mub_per_fu": 0.0,
  "lattice_angstrom": [[3.663, 0.000, 0.000], [0.000, 3.663, 0.000], [0.000, 0.000, 7.106]],
  "species": ["La", "La", "In", "Mo"],
  "fractional_positions": [[0.000, 0.000, 0.000], [0.500, 0.500, 0.294], [0.500, 0.500, 0.727], [0.000, 0.000, 0.550]]
}

13.
{
  "formula": "La2InMo",
  "functional": "meta-GGA SCAN",
  "state": "single point on PBEsol structure",
  "total_energy_ev_per_atom": -38.476,
  "e_form_ev_per_atom": 0.145,
  "mass_density_g_cm3": 7.9,
  "dos_at_fermi_per_ev_atom": 1.179,
  "spacegroup": "P2/m (10)",
  "magmom_total_mub_per_fu": 0.0,
  "lattice_angstrom": [[3.257, 0.000, 0.000], [0.000, 3.530, 0.000], [-0.853, 0.000, 8.933]],
  "species": ["La", "La", "In", "Mo"],
  "fractional_positions": [[0.064, 0.000, 0.286], [0.936, 0.000, 0.714], [0.500, 0.500, 0.000], [0.500, 0.500, 0.500]]
}

14.
{
  "formula": "LaInMo",
  "functional": "meta-GGA SCAN",
  "state": "single point on PBEsol structure",
  "total_energy_ev_per_atom": -36.098,
  "e_form_ev_per_atom": 1.027,
  "mass_density_g_cm3": 6.5,
  "dos_at_fermi_per_ev_atom": 0.573,
  "spacegroup": "F-43m (216)",
  "magmom_total_mub_per_fu": 3.9,
  "lattice_angstrom": [[0.000, 3.539, 3.539], [3.539, 0.000, 3.539], [3.539, 3.539, 0.000]],
  "species": ["La", "In", "Mo"],
  "fractional_positions": [[0.000, 0.000, 0.000], [0.250, 0.250, 0.250], [0.750, 0.750, 0.750]]
}

15.
{
  "formula": "La2InMo",
  "functional": "meta-GGA SCAN",
  "state": "single point on PBEsol structure",
  "total_energy_ev_per_atom": -38.285,
  "e_form_ev_per_atom": 0.336,
  "mass_density_g_cm3": 8.1,
  "dos_at_fermi_per_ev_atom": 1.083,
  "spacegroup": "Cmm2 (35)",
  "magmom_total_mub_per_fu": 0.0,
  "lattice_angstrom": [[1.754, -2.698, 0.000], [1.754, 2.698, 0.000], [0.000, 0.000, 10.525]],
  "species": ["La", "La", "In", "Mo"],
  "fractional_positions": [[0.000, 0.000, 0.000], [0.500, 0.500, 0.327], [0.000, 0.000, 0.592], [0.500, 0.500, 0.798]]
}

16.
{
  "formula": "LaScIn2Mo",
  "functional": "meta-GGA SCAN",
  "state": "single point on PBEsol structure",
  "total_energy_ev_per_atom": -30.503,
  "e_form_ev_per_atom": 1.298,
  "mass_density_g_cm3": 5.6,
  "dos_at_fermi_per_ev_atom": 1.272,
  "spacegroup": "P4/mmm (123)",
  "magmom_total_mub_per_fu": 0.0,
  "lattice_angstrom": [[5.686, 0.000, 0.000], [0.000, 5.686, 0.000], [0.000, 0.000, 4.702]],
  "species": ["La", "Sc", "In", "In", "Mo"],
  "fractional_positions": [[0.000, 0.000, 0.000], [0.500, 0.500, 0.500], [0.000, 0.500, 0.000], [0.500, 0.000, 0.000], [0.000, 0.000, 0.500]]
}

17.
{
  "formula": "LaScIn2Mo",
  "functional": "meta-GGA SCAN",
  "state": "single point on PBEsol structure",
  "total_energy_ev_per_atom": -30.730,
  "e_form_ev_per_atom": 1.070,
  "mass_density_g_cm3": 5.7,
  "dos_at_fermi_per_ev_atom": 0.850,
  "spacegroup": "P4/mmm (123)",
  "magmom_total_mub_per_fu": 4.0,
  "lattice_angstrom": [[5.366, 0.000, 0.000], [0.000, 5.366, 0.000], [0.000, 0.000, 5.170]],
  "species": ["La", "Sc", "In", "In", "Mo"],
  "fractional_positions": [[0.000, 0.000, 0.000], [0.000, 0.000, 0.500], [0.000, 0.500, 0.500], [0.500, 0.000, 0.500], [0.500, 0.500, 0.000]]
}

18.
{
  "formula": "La3InN",
  "functional": "meta-GGA SCAN",
  "state": "single point on PBEsol structure",
  "total_energy_ev_per_atom": -35.479,
  "mass_density_g_cm3": 7.0,
  "dos_at_fermi_per_ev_atom": 0.438,
  "raw_formation_energy_ev_per_atom": -1.08,
  "spacegroup": "Pm-3m (221)",
  "magmom_total_mub_per_fu": 0.0,
  "lattice_angstrom": [[5.064, 0.000, 0.000], [0.000, 5.064, 0.000], [0.000, 0.000, 5.064]],
  "species": ["La", "La", "La", "In", "N"],
  "fractional_positions": [[0.000, 0.000, 0.500], [0.000, 0.500, 0.000], [0.500, 0.000, 0.000], [0.500, 0.500, 0.500], [0.000, 0.000, 0.000]]
}

19.
{
  "formula": "La2InRhN",
  "functional": "meta-GGA SCAN",
  "state": "single point on PBEsol structure",
  "total_energy_ev_per_atom": -32.361,
  "mass_density_g_cm3": 6.1,
  "dos_at_fermi_per_ev_atom": 0.499,
  "raw_formation_energy_ev_per_atom": 0.17,
  "spacegroup": "P4/mmm (123)",
  "magmom_total_mub_per_fu": 0.0,
  "lattice_angstrom": [[5.308, 0.000, 0.000], [0.000, 5.308, 0.000], [0.000, 0.000, 4.910]],
  "species": ["La", "La", "In", "Rh", "N"],
  "fractional_positions": [[0.000, 0.500, 0.000], [0.500, 0.000, 0.000], [0.000, 0.000, 0.500], [0.000, 0.000, 0.000], [0.500, 0.500, 0.500]]
}

20.
{
  "formula": "NaLa2In2",
  "functional": "meta-GGA SCAN",
  "state": "single point on PBEsol structure",
  "total_energy_ev_per_atom": -31.568,
  "e_form_ev_per_atom": -0.129,
  "mass_density_g_cm3": 5.3,
  "dos_at_fermi_per_ev_atom": 1.073,
  "spacegroup": "I4/mmm (139)",
  "magmom_total_mub_per_fu": 0.0,
  "lattice_angstrom": [[-2.383, 2.383, 7.276], [2.383, -2.383, 7.276], [2.383, 2.383, -7.276]],
  "species": ["Na", "La", "La", "In", "In"],
  "fractional_positions": [[0.000, 0.000, 0.000], [0.250, 0.750, 0.500], [0.750, 0.250, 0.500], [0.406, 0.406, 0.000], [0.594, 0.594, 0.000]]
}